Entry 1:
# Re3Si PBE-GGA optimized geometry
# * symmetry: No. 62
data_Re3Si
_symmetry_space_group_name_H-M 'P 1'
_symmetry_Int_Tables_number 1
_cell_length_a 5.859
_cell_length_b 7.659
_cell_length_c 5.166
_cell_angle_alpha 90.00
_cell_angle_beta 90.00
_cell_angle_gamma 90.00
loop_
_symmetry_equiv_pos_as_xyz
'x,y,z'
loop_
_atom_site_label
_atom_site_type_symbol
_atom_site_fract_x
_atom_site_fract_y
_atom_site_fract_z
_atom_site_occupancy
Re1 Re 0.013 0.250 0.143 1
Re2 Re 0.198 0.050 0.633 1
Re3 Re 0.198 0.450 0.633 1
Re4 Re 0.302 0.550 0.133 1
Re5 Re 0.302 0.950 0.133 1
Re6 Re 0.487 0.750 0.643 1
Re7 Re 0.513 0.250 0.357 1
Re8 Re 0.698 0.050 0.867 1
Re9 Re 0.698 0.450 0.867 1
Re10 Re 0.802 0.550 0.367 1
Re11 Re 0.802 0.950 0.367 1
Re12 Re 0.987 0.750 0.857 1
Si1 Si 0.118 0.750 0.417 1
Si2 Si 0.382 0.250 0.917 1
Si3 Si 0.618 0.750 0.083 1
Si4 Si 0.882 0.250 0.583 1

***

Entry 2:
# ReSi2 PBE-GGA optimized geometry
# * symmetry: No. 225
data_ReSi2
_symmetry_space_group_name_H-M 'P 1'
_symmetry_Int_Tables_number 1
_cell_length_a 4.082
_cell_length_b 4.082
_cell_length_c 4.082
_cell_angle_alpha 60.00
_cell_angle_beta 60.00
_cell_angle_gamma 60.00
loop_
_symmetry_equiv_pos_as_xyz
'x,y,z'
loop_
_atom_site_label
_atom_site_type_symbol
_atom_site_fract_x
_atom_site_fract_y
_atom_site_fract_z
_atom_site_occupancy
Re1 Re 0.000 0.000 0.000 1
Si1 Si 0.250 0.250 0.250 1
Si2 Si 0.750 0.750 0.750 1

***

Entry 3:
# Re2Si3 PBE-GGA optimized geometry
# * symmetry: No. 166
data_Re2Si3
_symmetry_space_group_name_H-M 'P 1'
_symmetry_Int_Tables_number 1
_cell_length_a 9.812
_cell_length_b 9.812
_cell_length_c 9.812
_cell_angle_alpha 16.96
_cell_angle_beta 16.96
_cell_angle_gamma 16.96
loop_
_symmetry_equiv_pos_as_xyz
'x,y,z'
loop_
_atom_site_label
_atom_site_type_symbol
_atom_site_fract_x
_atom_site_fract_y
_atom_site_fract_z
_atom_site_occupancy
Re1 Re 0.099 0.099 0.099 1
Re2 Re 0.901 0.901 0.901 1
Si1 Si 0.299 0.299 0.299 1
Si2 Si 0.500 0.500 0.500 1
Si3 Si 0.701 0.701 0.701 1

***

| no. | total energy (eV/f.u.) | formation energy without anion corrections (eV/atom) |
| --- | --- | --- |
| 1 | -42.39 | 0.094 |
| 2 | -22.69 | 0.200 |
| 3 | -41.20 | -0.007 |